Density functional theory data (SCAN) for K2CaW at its PBEsol-relaxed geometry.

The calculated formation energy comes out at 1536 meV per atom. The value obtained for the energy above the lowest structure with this stoichiometry is 0.000 eV per formula unit.

It has space group Cmmm (No. 65), with a = 6.3100 Å, b = 12.9317 Å, c = 2.9547 Å, α = 90.00°, β = 90.00° and γ = 90.00°. The inequivalent atoms are K at (0.2500, 0.2500, 0.0000), Ca at (0.0000, 0.0000, 0.5000) and W at (0.0000, 0.5000, 0.5000).